A relaxed BeNiGeO4 crystal. Source: Alexandria, functional GGA+U.

The structure in CIF format:
```
data_BeNiGeO4
_chemical_formula_sum 'Be4 Ni4 Ge4 O16'
_cell_length_a 5.5920
_cell_length_b 5.7315
_cell_length_c 7.9807
_cell_angle_alpha 90.00
_cell_angle_beta 90.00
_cell_angle_gamma 90.00
_symmetry_space_group_name_H-M 'I m m a'
_symmetry_Int_Tables_number 74
_symmetry_space_group_name_Hall '-I 2b 2'
loop_
_atom_site_label
_atom_site_type_symbol
_atom_site_fract_x
_atom_site_fract_y
_atom_site_fract_z
Be1 Be 0.0000 0.2500 0.1472
Ni1 Ni 0.2500 0.2500 0.7500
Ge1 Ge 0.0000 0.0000 0.5000
O1 O 0.0000 0.0082 0.2626
O2 O 0.2404 0.2500 0.4949
```

Results
The uncorrected energy comes out at -171.0 eV per cell. The volume is 9.14 A^3/atom.